Model P:
Here is crystalline TaTeH3 at its relaxed geometry from Alexandria. Energies are from GGA-PBE.

a = 3.797 Å, b = 3.797 Å, c = 3.797 Å
α = 90.00°, β = 90.00°, γ = 90.00°
Element x y z (fractional)
1 Ta 0.000 0.000 0.000
2 Te 0.500 0.500 0.500
3 H 0.000 0.000 0.500
4 H 0.000 0.500 0.000
5 H 0.500 0.000 0.000



Model Q:
Here is crystalline TaTeH3 at its relaxed geometry from Alexandria. Energies are from GGA-PBE.

a = 3.843 Å, b = 3.843 Å, c = 3.843 Å
α = 90.00°, β = 90.00°, γ = 90.00°
Element x y z (fractional)
1 Ta 0.000 0.000 0.000
2 Te 0.500 0.500 0.500
3 H 0.000 0.500 0.500
4 H 0.500 0.000 0.500
5 H 0.500 0.500 0.000



model P is preferred energetically. Next in line: 101.8 kJ/mol of atoms higher.